[1]
Entry from Alexandria: crystalline Ac7Pr3Tm at its relaxed geometry (GGA-PBE).

Values from the calculation:
- Raw total energy: -89.31 eV/cell

Structure (CIF):
```
data_Ac7Pr3Tm
_chemical_formula_sum 'Ac14 Pr6 Tm2'
_space_group_name_H-M_alt 'C 1 2/m 1'
_space_group_IT_number 12
_cell_length_a 12.314
_cell_length_b 11.214
_cell_length_c 6.948
_cell_angle_alpha 90.00
_cell_angle_beta 95.92
_cell_angle_gamma 90.00
loop_
_space_group_symop_operation_xyz
'x,y,z'
'-x,-y,-z'
'-x,y,-z'
'x,-y,z'
'x+1/2,y+1/2,z'
'-x+1/2,-y+1/2,-z'
'-x+1/2,y+1/2,-z'
'x+1/2,-y+1/2,z'
loop_
_atom_site_label
_atom_site_fract_x
_atom_site_fract_y
_atom_site_fract_z
Ac1 0.000 0.000 0.000
Ac2 0.239 0.500 0.228
Ac3 0.247 0.170 0.260
Pr1 0.000 0.336 0.000
Pr2 0.000 0.500 0.500
Tm1 0.000 0.000 0.500
```

[2]
Entry from Alexandria: crystalline Ac12Pr7Tm at its relaxed geometry (GGA-PBE).

Values from the calculation:
- Raw total energy: -149.47 eV/cell

Structure (CIF):
```
data_Ac12Pr7Tm
_chemical_formula_sum 'Ac24 Pr14 Tm2'
_space_group_name_H-M_alt 'I m -3'
_space_group_IT_number 204
_space_group_name_Hall '-I 2 2 3'
_cell_length_a 12.406
_cell_length_b 12.406
_cell_length_c 12.406
_cell_angle_alpha 90.00
_cell_angle_beta 90.00
_cell_angle_gamma 90.00
loop_
_atom_site_label
_atom_site_fract_x
_atom_site_fract_y
_atom_site_fract_z
Ac1 0.000 0.235 0.249
Pr1 0.000 0.000 0.500
Pr2 0.250 0.250 0.250
Tm1 0.000 0.000 0.000
```

[3]
Entry from Alexandria: crystalline AcPr6Tm5 at its relaxed geometry (GGA-PBE).

Values from the calculation:
- Raw total energy: -109.54 eV/cell

Structure (CIF):
```
data_AcPr6Tm5
_chemical_formula_sum 'Ac2 Pr12 Tm10'
_space_group_name_H-M_alt 'I m m m'
_space_group_IT_number 71
_space_group_name_Hall '-I 2 2'
_cell_length_a 5.188
_cell_length_b 10.185
_cell_length_c 15.531
_cell_angle_alpha 90.00
_cell_angle_beta 90.00
_cell_angle_gamma 90.00
loop_
_atom_site_label
_atom_site_fract_x
_atom_site_fract_y
_atom_site_fract_z
Ac1 0.000 0.000 0.000
Pr1 0.000 0.241 0.500
Pr2 0.000 0.254 0.167
Tm1 0.000 0.000 0.331
Tm2 0.000 0.500 0.000
Tm3 0.000 0.500 0.330
```

[4]
Entry from Alexandria: crystalline AcPr4Tm5 at its relaxed geometry (GGA-PBE).

Values from the calculation:
- Raw total energy: -45.23 eV/cell

Structure (CIF):
```
data_AcPr4Tm5
_chemical_formula_sum 'Ac1 Pr4 Tm5'
_space_group_name_H-M_alt 'P 4/m m m'
_space_group_IT_number 123
_space_group_name_Hall '-P 4 2'
_cell_length_a 3.672
_cell_length_b 3.672
_cell_length_c 25.065
_cell_angle_alpha 90.00
_cell_angle_beta 90.00
_cell_angle_gamma 90.00
loop_
_atom_site_label
_atom_site_fract_x
_atom_site_fract_y
_atom_site_fract_z
Ac1 0.000 0.000 0.000
Pr1 0.000 0.000 0.204
Pr2 0.000 0.000 0.401
Tm1 0.500 0.500 0.106
Tm2 0.500 0.500 0.303
Tm3 0.500 0.500 0.500
```

[5]
Entry from Alexandria: crystalline AcPr4Tm6 at its relaxed geometry (GGA-PBE).

Values from the calculation:
- Raw total energy: -92.83 eV/cell

Structure (CIF):
```
data_AcPr4Tm6
_chemical_formula_sum 'Ac2 Pr8 Tm12'
_space_group_name_H-M_alt 'I -4 2 m'
_space_group_IT_number 121
_space_group_name_Hall 'I -4 2'
_cell_length_a 6.756
_cell_length_b 6.756
_cell_length_c 17.003
_cell_angle_alpha 90.00
_cell_angle_beta 90.00
_cell_angle_gamma 90.00
loop_
_atom_site_label
_atom_site_fract_x
_atom_site_fract_y
_atom_site_fract_z
Ac1 0.000 0.000 0.000
Pr1 0.193 0.193 0.822
Tm1 0.000 0.500 0.000
Tm2 0.178 0.178 0.622
```

[6]
Entry from Alexandria: crystalline AcPr2Tm2 at its relaxed geometry (GGA-PBE).

Values from the calculation:
- Raw total energy: -87.88 eV/cell

Structure (CIF):
```
data_AcPr2Tm2
_chemical_formula_sum 'Ac4 Pr8 Tm8'
_space_group_name_H-M_alt 'C m c 21'
_space_group_IT_number 36
_cell_length_a 3.728
_cell_length_b 15.598
_cell_length_c 12.507
_cell_angle_alpha 90.00
_cell_angle_beta 90.00
_cell_angle_gamma 90.00
loop_
_space_group_symop_operation_xyz
'x,y,z'
'-x,-y,z+1/2'
'-x,y,z'
'x,-y,z+1/2'
'x+1/2,y+1/2,z'
'-x+1/2,-y+1/2,z+1/2'
'-x+1/2,y+1/2,z'
'x+1/2,-y+1/2,z+1/2'
loop_
_atom_site_label
_atom_site_fract_x
_atom_site_fract_y
_atom_site_fract_z
Ac1 0.000 0.128 0.000
Pr1 0.000 0.201 0.330
Pr2 0.000 0.488 0.240
Tm1 0.000 0.195 0.632
Tm2 0.000 0.434 0.985
```

[7]
Entry from Alexandria: crystalline AcPr5Tm6 at its relaxed geometry (GGA-PBE).

Values from the calculation:
- Raw total energy: -108.93 eV/cell

Structure (CIF):
```
data_AcPr5Tm6
_chemical_formula_sum 'Ac2 Pr10 Tm12'
_space_group_name_H-M_alt 'I m m m'
_space_group_IT_number 71
_space_group_name_Hall '-I 2 2'
_cell_length_a 5.195
_cell_length_b 9.977
_cell_length_c 15.568
_cell_angle_alpha 90.00
_cell_angle_beta 90.00
_cell_angle_gamma 90.00
loop_
_atom_site_label
_atom_site_fract_x
_atom_site_fract_y
_atom_site_fract_z
Ac1 0.000 0.000 0.000
Pr1 0.000 0.000 0.333
Pr2 0.000 0.500 0.000
Pr3 0.000 0.500 0.331
Tm1 0.000 0.245 0.500
Tm2 0.000 0.252 0.168
```

[8]
Entry from Alexandria: crystalline Ac4Pr6Tm at its relaxed geometry (GGA-PBE).

Values from the calculation:
- Raw total energy: -93.91 eV/cell

Structure (CIF):
```
data_Ac4Pr6Tm
_chemical_formula_sum 'Ac8 Pr12 Tm2'
_space_group_name_H-M_alt 'I -4 2 m'
_space_group_IT_number 121
_space_group_name_Hall 'I -4 2'
_cell_length_a 7.190
_cell_length_b 7.190
_cell_length_c 16.968
_cell_angle_alpha 90.00
_cell_angle_beta 90.00
_cell_angle_gamma 90.00
loop_
_atom_site_label
_atom_site_fract_x
_atom_site_fract_y
_atom_site_fract_z
Ac1 0.194 0.194 0.321
Pr1 0.000 0.500 0.000
Pr2 0.171 0.171 0.104
Tm1 0.000 0.000 0.500
```

[9]
Entry from Alexandria: crystalline Ac14PrTm at its relaxed geometry (GGA-PBE).

Values from the calculation:
- Raw total energy: -132.70 eV/cell

Structure (CIF):
```
data_Ac14PrTm
_chemical_formula_sum 'Ac28 Pr2 Tm2'
_space_group_name_H-M_alt 'A m m 2'
_space_group_IT_number 38
_cell_length_a 11.211
_cell_length_b 11.151
_cell_length_c 11.153
_cell_angle_alpha 90.00
_cell_angle_beta 90.00
_cell_angle_gamma 90.00
loop_
_space_group_symop_operation_xyz
'x,y,z'
'-x,-y,z'
'-x,y,z'
'x,-y,z'
'x,y+1/2,z+1/2'
'-x,-y+1/2,z+1/2'
'-x,y+1/2,z+1/2'
'x,-y+1/2,z+1/2'
loop_
_atom_site_label
_atom_site_fract_x
_atom_site_fract_y
_atom_site_fract_z
Ac1 0.000 0.000 0.000
Ac2 0.000 0.000 0.500
Ac3 0.000 0.249 0.250
Ac4 0.255 0.000 0.751
Ac5 0.256 0.249 0.000
Ac6 0.257 0.000 0.249
Ac7 0.500 0.249 0.750
Pr1 0.500 0.000 0.500
Tm1 0.500 0.000 0.000
```

[10]
Entry from Alexandria: crystalline Ac3PrTm at its relaxed geometry (GGA-PBE).

Values from the calculation:
- Raw total energy: -82.18 eV/cell

Structure (CIF):
```
data_Ac3PrTm
_chemical_formula_sum 'Ac12 Pr4 Tm4'
_space_group_name_H-M_alt 'C 1 2/m 1'
_space_group_IT_number 12
_cell_length_a 11.999
_cell_length_b 7.668
_cell_length_c 9.236
_cell_angle_alpha 90.00
_cell_angle_beta 102.40
_cell_angle_gamma 90.00
loop_
_space_group_symop_operation_xyz
'x,y,z'
'-x,-y,-z'
'-x,y,-z'
'x,-y,z'
'x+1/2,y+1/2,z'
'-x+1/2,-y+1/2,-z'
'-x+1/2,y+1/2,-z'
'x+1/2,-y+1/2,z'
loop_
_atom_site_label
_atom_site_fract_x
_atom_site_fract_y
_atom_site_fract_z
Ac1 0.151 0.234 0.147
Ac2 0.164 0.500 0.499
Pr1 0.084 0.000 0.713
Tm1 0.082 0.500 0.834
```

[11]
Entry from Alexandria: crystalline Ac4Pr15Tm at its relaxed geometry (GGA-PBE).

Values from the calculation:
- Raw total energy: -92.16 eV/cell

Structure (CIF):
```
data_Ac4Pr15Tm
_chemical_formula_sum 'Ac4 Pr15 Tm1'
_space_group_name_H-M_alt 'P 4/m m m'
_space_group_IT_number 123
_space_group_name_Hall '-P 4 2'
_cell_length_a 5.321
_cell_length_b 5.321
_cell_length_c 26.499
_cell_angle_alpha 90.00
_cell_angle_beta 90.00
_cell_angle_gamma 90.00
loop_
_atom_site_label
_atom_site_fract_x
_atom_site_fract_y
_atom_site_fract_z
Ac1 0.000 0.000 0.101
Ac2 0.000 0.000 0.303
Pr1 0.000 0.500 0.000
Pr2 0.000 0.500 0.202
Pr3 0.000 0.500 0.405
Pr4 0.500 0.500 0.101
Pr5 0.500 0.500 0.304
Pr6 0.500 0.500 0.500
Tm1 0.000 0.000 0.500
```

| no. | size of the total moment (Bohr magnetons per cell) |
| --- | --- |
| 1 | 0.00 |
| 2 | 0.39 |
| 3 | 0.00 |
| 4 | 0.00 |
| 5 | 0.00 |
| 6 | 0.00 |
| 7 | 0.00 |
| 8 | 0.00 |
| 9 | 0.00 |
| 10 | 0.00 |
| 11 | 0.00 |